# 1
This record from Alexandria describes a geometry-optimized TbYHo6 structure. The functional is PBE.

Cell and atoms, written as POSCAR:
```
TbYHo6
1.0
4.9980 0.0000 0.0000
2.4896 5.5898 0.0000
2.4952 1.1034 8.9393
Tb Y Ho
1 1 6
Direct
0.0000 0.0000 0.0000
0.0000 0.5000 0.5000
0.2502 0.3750 0.1248
0.2499 0.8748 0.6252
0.5003 0.2488 0.7505
0.4997 0.7512 0.2495
0.7501 0.1252 0.3748
0.7498 0.6250 0.8752
```

Values from the calculation:
* total DFT energy (no corrections): -4.799 eV/atom
* space group: P-1, No. 2
* DOS at the Fermi energy: 11.2 states/eV/cell
* E above lowest polymorph: 0.00 eV/f.u.
* calculated formation energy: 0.0213 eV per atom

=====

# 2
This record from Alexandria describes a geometry-optimized Tb2Y12Ho5 structure. The functional is PBE.

Cell and atoms, written as POSCAR:
```
Tb2Y12Ho5
1.0
7.7887 -4.6505 0.0000
7.7887 4.6505 0.0000
-0.2236 0.0000 8.5709
Tb Y Ho
2 12 5
Direct
0.1747 0.8253 0.0000
0.8253 0.1747 0.0000
0.0579 0.0579 0.3325
0.0640 0.6795 0.3377
0.1680 0.5280 0.7611
0.3205 0.9360 0.6623
0.4169 0.4169 0.1228
0.4720 0.8320 0.2389
0.5280 0.1680 0.7611
0.5831 0.5831 0.8772
0.6795 0.0640 0.3377
0.8320 0.4720 0.2389
0.9360 0.3205 0.6623
0.9421 0.9421 0.6675
0.2009 0.2009 0.0158
0.2693 0.2693 0.4269
0.5000 0.5000 0.5000
0.7307 0.7307 0.5731
0.7991 0.7991 0.9842
```

Values from the calculation:
* total DFT energy (no corrections): -5.648 eV/atom
* space group: C2/m, No. 12
* DOS at the Fermi energy: 29.7 states/eV/cell
* calculated formation energy: 0.1269 eV per atom

=====

# 3
This record from Alexandria describes a geometry-optimized TbY2Ho3 structure. The functional is PBE.

Cell and atoms, written as POSCAR:
```
TbY2Ho3
1.0
8.5056 -3.3548 0.0000
8.5056 3.3548 0.0000
-1.0939 0.0000 6.7040
Tb Y Ho
2 4 6
Direct
0.2293 0.7707 0.7500
0.7707 0.2293 0.2500
0.1087 0.2439 0.1324
0.2439 0.1087 0.6324
0.7561 0.8913 0.3676
0.8913 0.7561 0.8676
0.2534 0.7466 0.2500
0.2912 0.4127 0.4750
0.4127 0.2912 0.9750
0.5873 0.7088 0.0250
0.7088 0.5873 0.5250
0.7466 0.2534 0.7500
```

Values from the calculation:
* total DFT energy (no corrections): -5.071 eV/atom
* space group: C2/c, No. 15
* DOS at the Fermi energy: 18.2 states/eV/cell
* E above lowest polymorph: 0.86 eV/f.u.
* calculated formation energy: 0.1443 eV per atom